# Ac2GePdSe6 PBE relaxed
data_Ac2GePdSe6
_chemical_formula_sum 'Ac4 Ge2 Pd2 Se12'
_cell_length_a 6.305
_cell_length_b 8.056
_cell_length_c 11.923
_cell_angle_alpha 90.00
_cell_angle_beta 121.65
_cell_angle_gamma 90.00
_symmetry_space_group_name_H-M 'P 1 21/c 1'
_symmetry_Int_Tables_number 14
loop_
_symmetry_equiv_pos_as_xyz
'x,y,z'
'-x,-y,-z'
'-x,y+1/2,-z+1/2'
'x,-y+1/2,z+1/2'
loop_
_atom_site_label
_atom_site_type_symbol
_atom_site_fract_x
_atom_site_fract_y
_atom_site_fract_z
Ac1 Ac 0.179 0.109 0.249
Ge1 Ge 0.000 0.000 0.500
Pd1 Pd 0.500 0.000 0.000
Se1 Se 0.132 0.176 0.964
Se2 Se 0.302 0.683 0.968
Se3 Se 0.345 0.018 0.755
# crystal system	monoclinic
# final energy	-4.9980	eV per atom
# energy relative to the elements, uncorrected	-1105	meV/atom

# Ac2SiGe4Pd3 PBE relaxed
data_Ac2SiGe4Pd3
_chemical_formula_sum 'Ac2 Si1 Ge4 Pd3'
_cell_length_a 4.501
_cell_length_b 4.501
_cell_length_c 10.247
_cell_angle_alpha 90.00
_cell_angle_beta 90.00
_cell_angle_gamma 90.00
_symmetry_space_group_name_H-M 'P -4 m 2'
_symmetry_Int_Tables_number 115
loop_
_symmetry_equiv_pos_as_xyz
'x,y,z'
'y,-x,-z'
'-x,-y,z'
'-y,x,-z'
'-x,y,z'
'-y,-x,-z'
'x,-y,z'
'y,x,-z'
loop_
_atom_site_label
_atom_site_type_symbol
_atom_site_fract_x
_atom_site_fract_y
_atom_site_fract_z
Ac1 Ac 0.000 0.500 0.250
Si1 Si 0.000 0.000 0.500
Ge1 Ge 0.000 0.000 0.000
Ge2 Ge 0.000 0.500 0.628
Ge3 Ge 0.500 0.500 0.000
Pd1 Pd 0.000 0.500 0.875
Pd2 Pd 0.500 0.500 0.500
# crystal system	tetragonal
# final energy	-5.4843	eV per atom
# energy relative to the elements, uncorrected	-715	meV/atom

# Ac3SiGe2Pd9 PBE relaxed
data_Ac3SiGe2Pd9
_chemical_formula_sum 'Ac3 Si1 Ge2 Pd9'
_cell_length_a 6.6592
_cell_length_b 6.6592
_cell_length_c 8.5430
_cell_angle_alpha 90.00
_cell_angle_beta 90.00
_cell_angle_gamma 120.00
_symmetry_space_group_name_H-M 'P -3 m 1'
_symmetry_Int_Tables_number 164
_symmetry_space_group_name_Hall '-P 3 2"'
loop_
_atom_site_label
_atom_site_type_symbol
_atom_site_fract_x
_atom_site_fract_y
_atom_site_fract_z
Ac1 Ac 0.0000 0.0000 0.0000
Ac2 Ac 0.3333 0.6667 0.6637
Si1 Si 0.0000 0.0000 0.5000
Ge1 Ge 0.3333 0.6667 0.1885
Pd1 Pd 0.0000 0.5000 0.0000
Pd2 Pd 0.1424 0.2847 0.2996
# crystal system	trigonal
# final energy	-5.5996	eV per atom
# energy relative to the elements, uncorrected	-685	meV/atom

> The highest energy relative to the elements, uncorrected belongs to which entry?

Ac3SiGe2Pd9

> Which value of energy relative to the elements, uncorrected does entry 3 give?

-685 meV/atom